1.
Entry from Alexandria via LeMat-Bulk: a relaxed Ac2P4PdPt3 crystal (PBE).

The formation enthalpy at 0 K is -1016 meV per atom. Its density of states at the Fermi level is 3.3 states/eV/cell.

a = 4.422 Å, b = 4.422 Å, c = 9.729 Å
α = 90.00°, β = 90.00°, γ = 90.00°
Space group P-4m2 (No. 115)
Symmetry-distinct sites (fractional):
1 Ac 0.000 0.500 0.249
2 P 0.000 0.000 0.000
3 P 0.000 0.500 0.632
4 P 0.500 0.500 0.000
5 Pd 0.000 0.000 0.500
6 Pt 0.000 0.500 0.889
7 Pt 0.500 0.500 0.500



2.
Entry from Alexandria via LeMat-Bulk: a relaxed Ac2P3PdPt12 crystal (PBE).

The formation enthalpy at 0 K is -401 meV per atom. Its density of states at the Fermi level is 22.0 states/eV/cell.

a = 8.2949 Å, b = 8.2949 Å, c = 18.6317 Å
α = 90.00°, β = 90.00°, γ = 120.00°
Space group R-3m (No. 166, hexagonal axes)
Symmetry-distinct sites (fractional):
1 Ac 0.0000 0.0000 0.1152
2 P 0.0000 0.5000 0.0000
3 Pd 0.0000 0.0000 0.5000
4 Pt 0.0013 0.5007 0.1217
5 Pt 0.0391 0.5195 0.3600



3.
Entry from Alexandria via LeMat-Bulk: a relaxed AcP2Pd5Pt crystal (PBE).

The formation enthalpy at 0 K is -440 meV per atom. Its density of states at the Fermi level is 5.2 states/eV/cell.

a = 4.496 Å, b = 4.496 Å, c = 8.800 Å
α = 90.00°, β = 90.00°, γ = 90.00°
Space group P4/mmm (No. 123)
Symmetry-distinct sites (fractional):
1 Ac 0.000 0.000 0.000
2 P 0.500 0.500 0.260
3 Pd 0.000 0.500 0.333
4 Pd 0.500 0.500 0.000
5 Pt 0.000 0.000 0.500



4.
Entry from Alexandria via LeMat-Bulk: a relaxed AcP2Pd2Pt crystal (PBE).

The formation enthalpy at 0 K is -758 meV per atom. Its density of states at the Fermi level is 7.3 states/eV/cell.

a = 6.116 Å, b = 9.745 Å, c = 4.237 Å
α = 90.00°, β = 90.00°, γ = 90.00°
Space group Pnnm (No. 58)
Symmetry-distinct sites (fractional):
1 Ac 0.000 0.000 0.000
2 P 0.205 0.304 0.000
3 Pd 0.028 0.311 0.500
4 Pt 0.000 0.500 0.000



Q: The highest formation enthalpy at 0 K belongs to which entry?
A: Ac2P3PdPt12



Q: Which value of formation enthalpy at 0 K does entry 1 give?
A: -1016 meV per atom



Q: The highest formation enthalpy at 0 K belongs to which entry?
A: Ac2P3PdPt12



Q: Which formula does entry 3 have?
A: AcP2Pd5Pt